Computed, not measured: a geometry-optimized CsZrN2 structure at the PBE-GGA level of DFT.

Summary:
D(E_F) (states/eV per atom): 0.534
Magnetic moment (μB per cell): 0.651
Raw formation energy (eV per atom): -0.27
Space-group type: R-3m, No. 166

Cell and atoms, written as extended XYZ:
```
4
Lattice="1.7323 1.0001 7.5657 -1.7323 1.0001 7.5657 0.0000 -2.0003 7.5657" Properties=species:S:1:pos:R:3 pbc="T T T"
Cs 0.0000 0.0000 0.0000
Zr 0.0000 0.0000 11.3485
N 0.0000 0.0000 2.7368
N 0.0000 0.0000 19.9603
```


Computed, not measured: a geometry-optimized NaAc2SmSe4 structure at the PBE-GGA level of DFT.

Summary:
D(E_F) (states/eV per atom): 0.355
Magnetic moment (μB per cell): 0.000
Raw formation energy (eV per atom): -1.77
Space-group type: P2/m, No. 10

Cell and atoms, written as extended XYZ:
```
8
Lattice="7.4280 0.0000 0.0000 0.0000 4.3598 0.0000 -2.5581 0.0000 7.1734" Properties=species:S:1:pos:R:3 pbc="T T T"
Na 0.0000 0.0000 0.0000
Ac 2.4350 0.0000 3.5867
Ac 3.7140 2.1799 0.0000
Sm -1.2791 2.1799 3.5867
Se -0.1808 0.0000 5.3344
Se 1.1155 2.1799 1.7805
Se 3.7545 2.1799 5.3930
Se 5.0507 0.0000 1.8390
```


Computed, not measured: a geometry-optimized GaCuGe structure at the PBE-GGA level of DFT.

Summary:
D(E_F) (states/eV per atom): 0.285
Magnetic moment (μB per cell): 0.000
Space-group type: Pm, No. 6
Energy relative to the elements (eV/atom): 0.082

Cell and atoms, written as extended XYZ:
```
3
Lattice="3.0464 0.0000 0.0000 0.0000 2.8235 0.0000 -0.0176 0.0000 5.8017" Properties=species:S:1:pos:R:3 pbc="T T T"
Ga 0.0000 0.0000 0.0000
Cu 1.5046 1.4118 4.1919
Ge 3.0288 0.0000 2.5656
```


Computed, not measured: a geometry-optimized Be2HgBr structure at the PBE-GGA level of DFT.

Summary:
D(E_F) (states/eV per atom): 0.219
Magnetic moment (μB per cell): 0.000
Raw formation energy (eV per atom): 0.19
Space-group type: Pm, No. 6

Cell and atoms, written as extended XYZ:
```
4
Lattice="4.3843 0.0000 0.0000 0.0000 3.3722 0.0000 -0.0119 0.0000 5.4636" Properties=species:S:1:pos:R:3 pbc="T T T"
Be 0.0000 0.0000 0.0000
Be -0.0005 1.6861 1.4459
Hg 2.1921 0.0000 0.9297
Br 4.3738 1.6861 3.6831
```


Computed, not measured: a geometry-optimized Er5PuS6 structure at the PBE-GGA level of DFT.

Summary:
D(E_F) (states/eV per atom): 0.980
Magnetic moment (μB per cell): 5.989
Raw formation energy (eV per atom): -1.94
Space-group type: C2/m, No. 12

Cell and atoms, written as extended XYZ:
```
12
Lattice="3.3527 -5.8179 0.0000 3.3527 5.8179 0.0000 -2.2420 0.0000 6.3429" Properties=species:S:1:pos:R:3 pbc="T T T"
Er 0.0000 0.0000 0.0000
Er 2.2316 3.8704 3.1714
Er 3.3527 1.9382 0.0000
Er 3.3527 -1.9382 0.0000
Er 2.2316 -3.8704 3.1714
Pu 2.2316 0.0000 3.1714
S 1.1013 1.9619 1.5667
S -0.0334 0.0000 4.7695
S 1.1013 -1.9619 1.5667
S 3.3620 1.9619 4.7761
S 4.4967 0.0000 1.5733
S 3.3620 -1.9619 4.7761
```


Computed, not measured: a geometry-optimized Tl2OsCl structure at the PBE-GGA level of DFT.

Summary:
D(E_F) (states/eV per atom): 1.560
Magnetic moment (μB per cell): 1.121
Raw formation energy (eV per atom): 1.04
Space-group type: F-43m, No. 216

Cell and atoms, written as extended XYZ:
```
4
Lattice="0.0000 3.5454 3.5454 3.5454 0.0000 3.5454 3.5454 3.5454 0.0000" Properties=species:S:1:pos:R:3 pbc="T T T"
Tl 0.0000 0.0000 0.0000
Tl 1.7727 1.7727 1.7727
Os 3.5454 3.5454 3.5454
Cl 5.3181 5.3181 5.3181
```


Computed, not measured: a geometry-optimized NaAlSn2S6 structure at the PBE-GGA level of DFT.

Summary:
Magnetic moment (μB per cell): 0.000
Raw formation energy (eV per atom): -0.60
Space-group type: C2/c, No. 15

Cell and atoms, written as extended XYZ:
```
20
Lattice="6.5211 -6.3164 0.0000 6.5211 6.3164 0.0000 -2.6914 0.0000 6.6045" Properties=species:S:1:pos:R:3 pbc="T T T"
Na 4.5026 4.7448 4.9534
Na 5.8483 -4.7448 1.6511
Al 5.8483 3.9122 1.6511
Al 4.5026 -3.9122 4.9534
Sn 1.7821 1.0274 5.4345
Sn 3.1278 -1.0274 2.1323
Sn 7.2230 1.0274 4.4722
Sn 8.5687 -1.0274 1.1700
S -0.3829 0.9102 4.3487
S 2.4445 3.2182 6.2172
S 0.9628 -0.9102 1.0465
S 3.4160 0.8940 3.5770
S 6.5606 3.2182 3.6895
S 4.7616 -0.8940 0.2748
S 5.5892 0.8940 6.3297
S 3.7902 -3.2182 2.9150
S 6.9349 -0.8940 3.0274
S 9.3881 0.9102 5.5580
S 7.9063 -3.2182 0.3873
S 10.7338 -0.9102 2.2558
```


Computed, not measured: a geometry-optimized La9Mg2In structure at the PBE-GGA level of DFT.

Summary:
D(E_F) (states/eV per atom): 1.331
Magnetic moment (μB per cell): 0.000
Space-group type: P4/mmm, No. 123
Energy relative to the elements (eV/atom): -0.076

Cell and atoms, written as extended XYZ:
```
12
Lattice="5.8998 0.0000 0.0000 0.0000 5.8998 0.0000 0.0000 0.0000 11.4767" Properties=species:S:1:pos:R:3 pbc="T T T"
La 0.0000 0.0000 0.0000
La 0.0000 0.0000 3.8297
La 0.0000 0.0000 7.6470
La 0.0000 2.9499 1.8804
La 0.0000 2.9499 5.7383
La 0.0000 2.9499 9.5962
La 2.9499 0.0000 1.8804
La 2.9499 0.0000 5.7383
La 2.9499 0.0000 9.5962
Mg 2.9499 2.9499 3.8155
Mg 2.9499 2.9499 7.6612
In 2.9499 2.9499 0.0000
```


Computed, not measured: a geometry-optimized NaNiHPd2 structure at the PBE-GGA level of DFT.

Summary:
D(E_F) (states/eV per atom): 0.725
Magnetic moment (μB per cell): 0.398
E_tot (eV/atom): -4.149
Space-group type: P4/mmm, No. 123

Cell and atoms, written as extended XYZ:
```
5
Lattice="4.1834 0.0000 0.0000 0.0000 4.1834 0.0000 0.0000 0.0000 3.5872" Properties=species:S:1:pos:R:3 pbc="T T T"
Na 0.0000 0.0000 0.0000
Ni 2.0917 2.0917 0.0000
H 2.0917 2.0917 1.7936
Pd 0.0000 2.0917 1.7936
Pd 2.0917 0.0000 1.7936
```


Computed, not measured: a geometry-optimized AlAgGe structure at the PBE-GGA level of DFT.

Summary:
D(E_F) (states/eV per atom): 0.301
Magnetic moment (μB per cell): 0.000
Space-group type: Pnma, No. 62
Energy relative to the elements (eV/atom): 0.156

Cell and atoms, written as extended XYZ:
```
12
Lattice="6.7051 0.0000 0.0000 0.0000 4.1246 0.0000 0.0000 0.0000 8.1264" Properties=species:S:1:pos:R:3 pbc="T T T"
Al 1.0747 1.0311 0.4137
Al 2.2778 3.0934 4.4769
Al 4.4273 1.0311 3.6495
Al 5.6304 3.0934 7.7127
Ag 0.2758 1.0311 5.0801
Ag 3.0767 3.0934 1.0169
Ag 3.6284 1.0311 7.1095
Ag 6.4293 3.0934 3.0463
Ge 1.4123 3.0934 6.9241
Ge 1.9402 1.0311 2.8609
Ge 4.7649 3.0934 5.2654
Ge 5.2928 1.0311 1.2023
```